# NaLiTb GGA-PBE relaxed
data_NaLiTb
_symmetry_space_group_name_H-M 'P 4/n m m'
_symmetry_Int_Tables_number 129
_cell_length_a 3.513
_cell_length_b 3.513
_cell_length_c 14.408
_cell_angle_alpha 90.00
_cell_angle_beta 90.00
_cell_angle_gamma 90.00
loop_
_symmetry_equiv_pos_as_xyz
'x,y,z'
'-x,-y,-z'
'-y+1/2,x,z'
'y+1/2,-x,-z'
'-x+1/2,-y+1/2,z'
'x+1/2,y+1/2,-z'
'y,-x+1/2,z'
'-y,x+1/2,-z'
'x+1/2,-y,-z'
'-x+1/2,y,z'
'-y,-x,-z'
'y,x,z'
'-x,y+1/2,-z'
'x,-y+1/2,z'
'y+1/2,x+1/2,-z'
'-y+1/2,-x+1/2,z'
loop_
_atom_site_label
_atom_site_fract_x
_atom_site_fract_y
_atom_site_fract_z
_atom_site_occupancy
Na1 0.250 0.250 0.097 1
Li1 0.250 0.250 0.745 1
Tb1 0.250 0.250 0.415 1
# Formation energy ... 0.0786 eV per atom
# N(E_F) ... 2.95 states/eV/f.u.


# NaLiTb2Te4 GGA-PBE relaxed
data_NaLiTb2Te4
_symmetry_space_group_name_H-M 'P 1 2/m 1'
_symmetry_Int_Tables_number 10
_symmetry_space_group_name_Hall '-P 2y'
_cell_length_a 7.632
_cell_length_b 4.408
_cell_length_c 7.748
_cell_angle_alpha 90.00
_cell_angle_beta 109.21
_cell_angle_gamma 90.00
loop_
_atom_site_label
_atom_site_fract_x
_atom_site_fract_y
_atom_site_fract_z
_atom_site_occupancy
Na1 0.000 0.000 0.000 1
Li1 0.500 0.500 0.000 1
Tb1 0.000 0.500 0.500 1
Tb2 0.500 0.000 0.500 1
Te1 0.253 0.000 0.745 1
Te2 0.256 0.500 0.258 1
# Uncorrected formation energy ... -1.300 eV/atom


# NaLiTbTl GGA-PBE relaxed
data_NaLiTbTl
_symmetry_space_group_name_H-M 'F -4 3 m'
_symmetry_Int_Tables_number 216
_symmetry_space_group_name_Hall 'F -4 2 3'
_cell_length_a 7.319
_cell_length_b 7.319
_cell_length_c 7.319
_cell_angle_alpha 90.00
_cell_angle_beta 90.00
_cell_angle_gamma 90.00
loop_
_atom_site_label
_atom_site_fract_x
_atom_site_fract_y
_atom_site_fract_z
_atom_site_occupancy
Na1 0.000 0.000 0.000 1
Li1 0.250 0.250 0.750 1
Tb1 0.250 0.250 0.250 1
Tl1 0.000 0.000 0.500 1
# Formation energy ... -0.1004 eV per atom
# N(E_F) ... 2.90 states/eV/f.u.


# NaLiTc2 GGA-PBE relaxed
data_NaLiTc2
_symmetry_space_group_name_H-M 'F m -3 m'
_symmetry_Int_Tables_number 225
_symmetry_space_group_name_Hall '-F 4 2 3'
_cell_length_a 6.295
_cell_length_b 6.295
_cell_length_c 6.295
_cell_angle_alpha 90.00
_cell_angle_beta 90.00
_cell_angle_gamma 90.00
loop_
_atom_site_label
_atom_site_fract_x
_atom_site_fract_y
_atom_site_fract_z
_atom_site_occupancy
Na1 0.000 0.000 0.000 1
Li1 0.000 0.000 0.500 1
Tc1 0.250 0.250 0.250 1
# Formation energy ... 1.3660 eV per atom
# N(E_F) ... 5.38 states/eV/f.u.


# Na3LiTc GGA-PBE relaxed
data_Na3LiTc
_symmetry_space_group_name_H-M 'P m -3 m'
_symmetry_Int_Tables_number 221
_symmetry_space_group_name_Hall '-P 4 2 3'
_cell_length_a 5.240
_cell_length_b 5.240
_cell_length_c 5.240
_cell_angle_alpha 90.00
_cell_angle_beta 90.00
_cell_angle_gamma 90.00
loop_
_atom_site_label
_atom_site_fract_x
_atom_site_fract_y
_atom_site_fract_z
_atom_site_occupancy
Na1 0.000 0.000 0.500 1
Li1 0.000 0.000 0.000 1
Tc1 0.500 0.500 0.500 1
# Formation energy ... 1.1655 eV per atom
# N(E_F) ... 3.69 states/eV/f.u.


# NaLi3Tc GGA-PBE relaxed
data_NaLi3Tc
_symmetry_space_group_name_H-M 'P m -3 m'
_symmetry_Int_Tables_number 221
_symmetry_space_group_name_Hall '-P 4 2 3'
_cell_length_a 5.073
_cell_length_b 5.073
_cell_length_c 5.073
_cell_angle_alpha 90.00
_cell_angle_beta 90.00
_cell_angle_gamma 90.00
loop_
_atom_site_label
_atom_site_fract_x
_atom_site_fract_y
_atom_site_fract_z
_atom_site_occupancy
Na1 0.000 0.000 0.000 1
Li1 0.000 0.500 0.500 1
Tc1 0.500 0.500 0.500 1
# Formation energy ... 0.9049 eV per atom
# N(E_F) ... 6.16 states/eV/f.u.